Entry 1:
First-principles (PBE-GGA) data for a relaxed structure of Ca2TlGaIr, as listed in the Alexandria database.

Values from the calculation:
DFT formation energy: -30 kJ per mole of atoms

Cell lengths 5.538, 5.538, 4.792 Å; angles 90.00, 90.00, 90.00 degrees
Positions (direct):
Ca 0.000 0.500 0.000
Ca 0.500 0.000 0.000
Tl 0.000 0.000 0.500
Ga 0.500 0.500 0.500
Ir 0.500 0.500 0.000

***

Entry 2:
First-principles (PBE-GGA) data for a relaxed structure of CaTmGaIr, as listed in the Alexandria database.

Values from the calculation:
DFT formation energy: -49 kJ per mole of atoms

Cell lengths 4.911, 4.911, 4.911 Å; angles 60.00, 60.00, 60.00 degrees
Positions (direct):
Ca 0.000 0.000 0.000
Tm 0.500 0.500 0.500
Ga 0.250 0.250 0.250
Ir 0.750 0.750 0.750

***

We obtain DOS at the Fermi energy values of 0.4351, 0.7304 states/eV/atom for the records listed above, in that order.